Entry 1:
Density functional theory data (GGA-PBE) for SrLiHoBr6 after structural relaxation.

Lattice parameters (Å, degrees): 7.135 7.135 13.410 90.00 90.00 120.00
Element x y z (fractional)
Sr (0.000, 0.000, 0.000)
Sr (0.000, 0.000, 0.500)
Li (0.333, 0.667, 0.250)
Li (0.667, 0.333, 0.750)
Ho (0.333, 0.667, 0.750)
Ho (0.667, 0.333, 0.250)
Br (0.002, 0.357, 0.132)
Br (0.002, 0.645, 0.368)
Br (0.355, 0.357, 0.368)
Br (0.355, 0.998, 0.132)
Br (0.357, 0.002, 0.632)
Br (0.357, 0.355, 0.868)
Br (0.643, 0.645, 0.132)
Br (0.643, 0.998, 0.368)
Br (0.645, 0.002, 0.868)
Br (0.645, 0.643, 0.632)
Br (0.998, 0.355, 0.632)
Br (0.998, 0.643, 0.868)

Values from the calculation:
ΔE_f (raw) in kJ/mol of atoms: -180
Energy in eV/atom: -3.89

Entry 2:
Density functional theory data (GGA-PBE) for PrThOsRh after structural relaxation.

Lattice parameters (Å, degrees): 7.127 7.127 7.127 90.00 90.00 90.00
Element x y z (fractional)
Pr (0.000, 0.000, 0.000)
Pr (0.000, 0.500, 0.500)
Pr (0.500, 0.000, 0.500)
Pr (0.500, 0.500, 0.000)
Th (0.000, 0.000, 0.500)
Th (0.000, 0.500, 0.000)
Th (0.500, 0.000, 0.000)
Th (0.500, 0.500, 0.500)
Os (0.250, 0.250, 0.750)
Os (0.250, 0.750, 0.250)
Os (0.750, 0.250, 0.250)
Os (0.750, 0.750, 0.750)
Rh (0.250, 0.250, 0.250)
Rh (0.250, 0.750, 0.750)
Rh (0.750, 0.250, 0.750)
Rh (0.750, 0.750, 0.250)

Values from the calculation:
Energy in eV/atom: -8.05
Formation energy from the elements in eV/f.u.: -1.40

Entry 3:
Density functional theory data (GGA-PBE) for HfH3Br after structural relaxation.

Lattice parameters (Å, degrees): 3.828 3.828 3.828 90.00 90.00 90.00
Element x y z (fractional)
Hf (0.000, 0.000, 0.000)
H (0.000, 0.500, 0.500)
H (0.500, 0.000, 0.500)
H (0.500, 0.500, 0.000)
Br (0.500, 0.500, 0.500)

Values from the calculation:
Energy in eV/atom: -3.06

So what do the calculations give for total magnetization? Going down the list: 0.00, 0.00, 0.00 μB/cell.